No. 1
# PBE-GGA Ag3Br2Cl4, relaxed
data_Ag3Br2Cl4
_chemical_formula_sum 'Ag6 Br4 Cl8'
_cell_length_a 8.1511
_cell_length_b 12.0794
_cell_length_c 5.6562
_cell_angle_alpha 90.00
_cell_angle_beta 107.45
_cell_angle_gamma 90.00
_symmetry_space_group_name_H-M 'C 1 2/m 1'
_symmetry_Int_Tables_number 12
loop_
_symmetry_equiv_pos_as_xyz
'x,y,z'
'-x,-y,-z'
'-x,y,-z'
'x,-y,z'
'x+1/2,y+1/2,z'
'-x+1/2,-y+1/2,-z'
'-x+1/2,y+1/2,-z'
'x+1/2,-y+1/2,z'
loop_
_atom_site_label
_atom_site_type_symbol
_atom_site_fract_x
_atom_site_fract_y
_atom_site_fract_z
Ag1 Ag 0.0000 0.0000 0.0000
Ag2 Ag 0.2500 0.2500 0.0000
Br1 Br 0.0990 0.5000 0.1992
Cl1 Cl 0.1519 0.1459 0.2945
# V	29.52	Å³ per atom
# density of states at the Fermi level	4.3	states/eV/f.u.

***

No. 2
# PBE-GGA AgBrCl2, relaxed
data_AgBrCl2
_chemical_formula_sum 'Ag3 Br3 Cl6'
_cell_length_a 3.1792
_cell_length_b 3.1792
_cell_length_c 37.9399
_cell_angle_alpha 90.00
_cell_angle_beta 90.00
_cell_angle_gamma 120.00
_symmetry_space_group_name_H-M 'R -3 m'
_symmetry_Int_Tables_number 166
_symmetry_space_group_name_Hall '-R 3 2"'
loop_
_atom_site_label
_atom_site_type_symbol
_atom_site_fract_x
_atom_site_fract_y
_atom_site_fract_z
Ag1 Ag 0.0000 0.0000 0.0000
Br1 Br 0.0000 0.0000 0.5000
Cl1 Cl 0.0000 0.0000 0.0617
# V	27.67	Å³ per atom
# density of states at the Fermi level	5.1	states/eV/f.u.
# distance to the lowest polymorph of the same formula	1.53	eV per formula unit

***

No. 3
# PBE-GGA Ag3Br2Cl, relaxed
data_Ag3Br2Cl
_chemical_formula_sum 'Ag3 Br2 Cl1'
_cell_length_a 4.3984
_cell_length_b 4.3984
_cell_length_c 10.7623
_cell_angle_alpha 90.00
_cell_angle_beta 90.00
_cell_angle_gamma 120.00
_symmetry_space_group_name_H-M 'P 3 m 1'
_symmetry_Int_Tables_number 156
loop_
_symmetry_equiv_pos_as_xyz
'x,y,z'
'-y,x-y,z'
'-x+y,-x,z'
'-y,-x,z'
'-x+y,y,z'
'x,x-y,z'
loop_
_atom_site_label
_atom_site_type_symbol
_atom_site_fract_x
_atom_site_fract_y
_atom_site_fract_z
Ag1 Ag 0.0000 0.0000 0.0000
Ag2 Ag 0.3333 0.6667 0.6559
Ag3 Ag 0.6667 0.3333 0.3136
Br1 Br 0.0000 0.0000 0.7459
Br2 Br 0.3333 0.6667 0.4028
Cl1 Cl 0.6667 0.3333 0.0700
# V	30.05	Å³ per atom
# distance to the lowest polymorph of the same formula	0.00	eV per formula unit

***

No. 4
# PBE-GGA AgBr2Cl, relaxed
data_AgBr2Cl
_chemical_formula_sum 'Ag1 Br2 Cl1'
_cell_length_a 5.5941
_cell_length_b 5.5941
_cell_length_c 5.0253
_cell_angle_alpha 90.00
_cell_angle_beta 90.00
_cell_angle_gamma 90.00
_symmetry_space_group_name_H-M 'P 4/m m m'
_symmetry_Int_Tables_number 123
_symmetry_space_group_name_Hall '-P 4 2'
loop_
_atom_site_label
_atom_site_type_symbol
_atom_site_fract_x
_atom_site_fract_y
_atom_site_fract_z
Ag1 Ag 0.0000 0.0000 0.0000
Br1 Br 0.5000 0.5000 0.2505
Cl1 Cl 0.0000 0.0000 0.5000
# V	39.32	Å³ per atom
# density of states at the Fermi level	7.5	states/eV/f.u.
# distance to the lowest polymorph of the same formula	0.83	eV per formula unit

***

No. 5
# PBE-GGA AgBr2Cl2, relaxed
data_AgBr2Cl2
_chemical_formula_sum 'Ag2 Br4 Cl4'
_cell_length_a 7.5659
_cell_length_b 7.5659
_cell_length_c 5.1524
_cell_angle_alpha 90.00
_cell_angle_beta 90.00
_cell_angle_gamma 90.00
_symmetry_space_group_name_H-M 'P 4/m b m'
_symmetry_Int_Tables_number 127
_symmetry_space_group_name_Hall '-P 4 2ab'
loop_
_atom_site_label
_atom_site_type_symbol
_atom_site_fract_x
_atom_site_fract_y
_atom_site_fract_z
Ag1 Ag 0.0000 0.0000 0.0000
Br1 Br 0.1921 0.3079 0.0000
Cl1 Cl 0.1889 0.3111 0.5000
# V	29.49	Å³ per atom
# density of states at the Fermi level	1.6	states/eV/f.u.
# distance to the lowest polymorph of the same formula	0.48	eV per formula unit

***

No. 6
# PBE-GGA AgBrCl3, relaxed
data_AgBrCl3
_chemical_formula_sum 'Ag1 Br1 Cl3'
_cell_length_a 5.0388
_cell_length_b 5.0388
_cell_length_c 5.0388
_cell_angle_alpha 90.00
_cell_angle_beta 90.00
_cell_angle_gamma 90.00
_symmetry_space_group_name_H-M 'P m -3 m'
_symmetry_Int_Tables_number 221
_symmetry_space_group_name_Hall '-P 4 2 3'
loop_
_atom_site_label
_atom_site_type_symbol
_atom_site_fract_x
_atom_site_fract_y
_atom_site_fract_z
Ag1 Ag 0.0000 0.0000 0.0000
Br1 Br 0.5000 0.5000 0.5000
Cl1 Cl 0.0000 0.0000 0.5000
# V	25.59	Å³ per atom
# density of states at the Fermi level	4.8	states/eV/f.u.
# distance to the lowest polymorph of the same formula	1.58	eV per formula unit

***

No. 7
# PBE-GGA Ag3BrCl2, relaxed
data_Ag3BrCl2
_chemical_formula_sum 'Ag12 Br4 Cl8'
_cell_length_a 7.5094
_cell_length_b 13.0056
_cell_length_c 7.5227
_cell_angle_alpha 90.00
_cell_angle_beta 109.65
_cell_angle_gamma 90.00
_symmetry_space_group_name_H-M 'C 1 c 1'
_symmetry_Int_Tables_number 9
loop_
_symmetry_equiv_pos_as_xyz
'x,y,z'
'x,-y,z+1/2'
'x+1/2,y+1/2,z'
'x+1/2,-y+1/2,z+1/2'
loop_
_atom_site_label
_atom_site_type_symbol
_atom_site_fract_x
_atom_site_fract_y
_atom_site_fract_z
Ag1 Ag 0.0000 0.0824 0.0000
Ag2 Ag 0.4898 0.0878 0.4865
Ag3 Ag 0.4898 0.2578 0.0009
Br1 Br 0.1162 0.4133 0.3706
Cl1 Cl 0.1181 0.0821 0.3703
Cl2 Cl 0.1186 0.2474 0.8709
# V	28.83	Å³ per atom
# distance to the lowest polymorph of the same formula	0.00	eV per formula unit

***

No. 8
# PBE-GGA AgBrCl2, relaxed
data_AgBrCl2
_chemical_formula_sum 'Ag3 Br3 Cl6'
_cell_length_a 3.8464
_cell_length_b 3.8464
_cell_length_c 23.3877
_cell_angle_alpha 90.00
_cell_angle_beta 90.00
_cell_angle_gamma 120.00
_symmetry_space_group_name_H-M 'R -3 m'
_symmetry_Int_Tables_number 166
_symmetry_space_group_name_Hall '-R 3 2"'
loop_
_atom_site_label
_atom_site_type_symbol
_atom_site_fract_x
_atom_site_fract_y
_atom_site_fract_z
Ag1 Ag 0.0000 0.0000 0.0000
Br1 Br 0.0000 0.0000 0.5000
Cl1 Cl 0.0000 0.0000 0.2718
# V	24.97	Å³ per atom
# density of states at the Fermi level	6.7	states/eV/f.u.
# distance to the lowest polymorph of the same formula	1.04	eV per formula unit

***

Number 1: uncorrected energy -2.39 eV per atom. Number 2: uncorrected energy -1.90 eV per atom. Number 3: uncorrected energy -2.66 eV per atom. Number 4: uncorrected energy -1.99 eV per atom. Number 5: uncorrected energy -2.00 eV per atom. Number 6: uncorrected energy -1.88 eV per atom. Number 7: uncorrected energy -2.73 eV per atom. Number 8: uncorrected energy -2.02 eV per atom.